The following is a GGA-PBEsol calculation of RbSrTeW2 after structural relaxation, from Alexandria.

Unit cell a=5.044 b=5.044 c=5.617 alpha=90.00 beta=90.00 gamma=90.00
Element x y z (fractional)
Rb (0.000, 0.000, 0.000)
Sr (0.000, 0.000, 0.500)
Te (0.500, 0.500, 0.000)
W (0.000, 0.500, 0.500)
W (0.500, 0.000, 0.500)

Density of states at the Fermi level ... 5.4 states/eV per cell
Size of the total moment ... 2.6 Bohr magnetons per cell
Volume ... 28.58 Å³ per atom
Total energy ... -20.05 eV for the cell shown